Entry from Alexandria via LeMat-Bulk: crystalline ZrMoWO8 at its relaxed geometry (PBE+U).

Electronic total energy   -0.28843 hartree per atom

a = 5.9683 Å, b = 5.9683 Å, c = 6.5397 Å
α = 90.00°, β = 90.00°, γ = 120.00°
Last column: nearest neighbours and their distance in Å.
Space group P3m1 (No. 156)
Unique sites:
1 Zr 0.0000 0.0000 0.0000  6 O 2.10
2 Mo 0.3333 0.6667 0.2757  4 O 1.73-1.82
3 W 0.6667 0.3333 0.7197  4 O 1.76-1.83
4 O 0.1676 0.3352 0.1819  1 Mo 1.82
5 O 0.3325 0.1663 0.8142  1 W 1.83
6 O 0.3333 0.6667 0.5399  1 Mo 1.73
7 O 0.6667 0.3333 0.4511  1 W 1.76